No. 1
34
Lattice="4.866 0.000 0.000 0.386 7.869 0.000 0.159 0.201 11.309" Properties=species:S:1:pos:R:3 comment="Ba2V3P6HO22 (PBEsol, optimized geometry)" total_energy_ev_per_atom=-7.8732 n_ef_per_ev_cell=17.3 pbc="T T T"
Ba 1.170 0.082 1.994
Ba 4.241 7.988 9.315
V 1.276 3.922 2.287
V 2.513 0.100 5.655
V 4.135 4.148 9.023
P 0.494 6.034 4.810
P 1.675 5.623 7.435
P 1.809 2.508 10.720
P 3.603 5.561 0.590
P 3.737 2.446 3.875
P 4.917 2.036 6.500
H 0.193 3.934 0.000
O 0.437 5.630 8.351
O 0.488 5.216 3.540
O 0.747 3.601 10.318
O 1.190 5.171 5.970
O 1.383 7.280 4.599
O 1.317 1.070 10.497
O 1.459 1.682 6.054
O 1.896 2.532 0.923
O 2.224 7.062 7.358
O 2.323 5.370 1.426
O 2.708 4.591 7.815
O 2.704 3.479 3.495
O 3.088 2.699 9.884
O 3.187 1.008 3.952
O 3.515 5.538 10.387
O 3.952 6.388 5.255
O 4.094 7.000 0.813
O 4.028 0.790 6.711
O 4.221 2.899 5.340
O 4.664 4.469 0.991
O 4.923 2.854 7.769
O 4.974 2.440 2.959


No. 2
10
Lattice="6.119 0.000 0.000 -3.059 5.299 0.000 0.000 0.000 5.646" Properties=species:S:1:pos:R:3 comment="LaCrGe3 (PBEsol, optimized geometry)" total_energy_ev_per_atom=-6.5883 n_ef_per_ev_cell=3.3 formation_energy_ev_per_atom=-0.51 pbc="T T T"
La 0.000 3.533 1.411
La 3.059 1.766 4.234
Cr 0.000 0.000 0.000
Cr 0.000 0.000 2.823
Ge 0.000 2.025 4.234
Ge -1.305 4.286 4.234
Ge 1.754 1.013 1.411
Ge 1.305 4.286 4.234
Ge 4.365 1.013 1.411
Ge 3.059 3.274 1.411


No. 3
5
Lattice="4.974 0.000 0.000 0.000 4.974 0.000 0.000 0.000 5.311" Properties=species:S:1:pos:R:3 comment="GaCuSb2Te (PBEsol, optimized geometry)" polymorph_energy_ev_per_fu=0.00 total_energy_ev_per_atom=-3.6421 n_ef_per_ev_cell=3.2 pbc="T T T"
Ga 0.000 0.000 0.000
Cu 2.487 2.487 2.656
Sb 0.000 2.487 2.656
Sb 2.487 0.000 2.656
Te 2.487 2.487 0.000


No. 4
12
Lattice="8.065 0.000 0.000 0.000 4.074 0.000 0.000 0.000 10.723" Properties=species:S:1:pos:R:3 comment="BiSeBr (PBEsol, optimized geometry)" total_energy_ev_per_atom=-3.8739 n_ef_per_ev_cell=0.0 pbc="T T T"
Bi 1.065 1.018 1.416
Bi 2.968 3.055 6.777
Bi 5.097 1.018 3.945
Bi 7.000 3.055 9.307
Se 1.525 3.055 10.226
Se 2.508 1.018 4.864
Se 5.557 3.055 5.858
Se 6.540 1.018 0.497
Br 0.239 1.018 7.452
Br 3.794 3.055 2.091
Br 4.271 1.018 8.632
Br 7.826 3.055 3.271


No. 5
5
Lattice="5.305 0.000 0.000 0.000 5.305 0.000 0.000 0.000 4.437" Properties=species:S:1:pos:R:3 comment="SrN2ClF (PBEsol, optimized geometry)" total_energy_ev_per_atom=-3.9652 n_ef_per_ev_cell=4.0 pbc="T T T"
Sr 0.000 0.000 0.000
N 0.000 2.652 0.000
N 2.652 0.000 0.000
Cl 2.652 2.652 2.218
F 0.000 0.000 2.218


No. 6
3
Lattice="0.000 3.379 3.379 3.379 0.000 3.379 3.379 3.379 0.000" Properties=species:S:1:pos:R:3 comment="FeSbTe (PBEsol, optimized geometry)" total_energy_ev_per_atom=-4.7585 n_ef_per_ev_cell=4.0 pbc="T T T"
Fe 0.000 0.000 0.000
Sb 3.379 3.379 3.379
Te 1.690 1.690 1.690


No. 7
4
Lattice="2.632 0.000 0.000 0.000 4.444 0.000 0.000 0.000 4.937" Properties=species:S:1:pos:R:3 comment="Li3Cu (PBEsol, optimized geometry)" total_energy_ev_per_atom=-2.5005 n_ef_per_ev_cell=1.5 formation_energy_ev_per_atom=0.06 pbc="T T T"
Li 0.000 0.000 0.000
Li 0.000 2.222 1.555
Li 1.316 2.222 3.850
Cu 1.316 0.000 2.452


No. 8
4
Lattice="0.000 3.357 3.357 3.357 0.000 3.357 3.357 3.357 0.000" Properties=species:S:1:pos:R:3 comment="Lu2GaOs (PBEsol, optimized geometry)" total_energy_ev_per_atom=-6.7789 n_ef_per_ev_cell=1.8 formation_energy_ev_per_atom=-0.45 pbc="T T T"
Lu 1.678 1.678 1.678
Lu 5.035 5.035 5.035
Ga 0.000 0.000 0.000
Os 3.357 3.357 3.357


No. 9
4
Lattice="0.000 3.065 3.065 3.065 0.000 3.065 3.065 3.065 0.000" Properties=species:S:1:pos:R:3 comment="Cu2BiN (PBEsol, optimized geometry)" total_energy_ev_per_atom=-4.2319 n_ef_per_ev_cell=1.3 pbc="T T T"
Cu 1.533 1.533 1.533
Cu 4.598 4.598 4.598
Bi 0.000 0.000 0.000
N 3.065 3.065 3.065


No. 10
5
Lattice="-2.802 2.802 3.866 2.802 -2.802 3.866 2.802 2.802 -3.866" Properties=species:S:1:pos:R:3 comment="La2ZnPd2 (PBEsol, optimized geometry)" total_energy_ev_per_atom=-5.3685 n_ef_per_ev_cell=3.0 formation_energy_ev_per_atom=-0.53 pbc="T T T"
La 2.802 0.000 1.933
La 0.000 2.802 1.933
Zn 0.000 0.000 0.000
Pd 0.000 0.000 2.575
Pd 0.000 0.000 5.156


No. 11
4
Lattice="2.896 0.000 0.000 0.000 2.896 0.000 0.000 0.000 7.649" Properties=species:S:1:pos:R:3 comment="MnTcSe2 (PBEsol, optimized geometry)" total_energy_ev_per_atom=-7.3007 n_ef_per_ev_cell=2.5 pbc="T T T"
Mn 0.000 0.000 0.000
Tc 1.448 1.448 5.854
Se 0.000 0.000 4.405
Se 1.448 1.448 1.275


No. 12
10
Lattice="2.526 1.459 4.719 -2.526 1.459 4.719 0.000 -2.917 4.719" Properties=species:S:1:pos:R:3 comment="TaMn2FeO6 (PBEsol, optimized geometry)" total_energy_ev_per_atom=-9.0276 n_ef_per_ev_cell=3.2 pbc="T T T"
Ta 0.000 0.000 0.000
Mn 0.000 0.000 4.437
Mn 0.000 0.000 11.353
Fe 0.000 0.000 7.208
O -0.728 -1.361 5.686
O -1.799 -0.043 8.144
O -0.815 1.311 5.686
O 0.936 -1.536 8.144
O 1.543 0.050 5.686
O 0.862 1.579 8.144